{"formula": "SrTbEuCoO6", "functional": "PBE with a Hubbard U", "state": "optimized geometry", "dft_energy_ev_per_atom": -7.37, "sg": "No. 216", "lattice": [[0.0000, 4.0363, 4.0363], [4.0363, 0.0000, 4.0363], [4.0363, 4.0363, 0.0000]], "species": ["Sr", "Tb", "Eu", "Co", "O", "O", "O", "O", "O", "O"], "fractional_positions": [[0.0000, 0.0000, 0.0000], [0.7500, 0.7500, 0.7500], [0.5000, 0.5000, 0.5000], [0.2500, 0.2500, 0.2500], [0.0203, 0.0203, 0.4797], [0.0203, 0.4797, 0.0203], [0.0203, 0.4797, 0.4797], [0.4797, 0.0203, 0.0203], [0.4797, 0.0203, 0.4797], [0.4797, 0.4797, 0.0203]]}